# La5Br

A geometry-optimized La5Br structure (PBE, Alexandria).

a = 5.0457 Å, b = 15.8740 Å, c = 4.9963 Å
α = 90.00°, β = 90.00°, γ = 90.00°
Space group Cmmm (No. 65)
Unique sites:
La 0.0000 0.0000 0.0000
La 0.0000 0.1597 0.5000
La 0.0000 0.3349 0.0000
Br 0.0000 0.5000 0.5000

Output
- calculated density (g/cm³) = 6.427
- crystal system = orthorhombic
- volume (Å³ per cell) = 400
- energy relative to the elements, uncorrected (eV per atom) = -0.17

=====

# Pr12CdCo5

A geometry-optimized Pr12CdCo5 structure (PBE, Alexandria).

a = 9.8678 Å, b = 10.0215 Å, c = 10.1300 Å
α = 90.00°, β = 90.00°, γ = 90.00°
Space group Immm (No. 71)
Unique sites:
Pr 0.0000 0.1907 0.1980
Pr 0.1933 0.5000 0.1835
Pr 0.2006 0.3161 0.5000
Cd 0.0000 0.0000 0.5000
Co 0.0000 0.0000 0.0000
Co 0.0000 0.3807 0.0000
Co 0.0000 0.5000 0.3881

Output
- calculated density (g/cm³) = 6.955
- DFT formation energy (eV per atom) = -0.083
- crystal system = orthorhombic
- volume (Å³ per cell) = 1002

=====

# Pr5Ir2I2

A geometry-optimized Pr5Ir2I2 structure (PBE, Alexandria).

a = 17.0617 Å, b = 8.1300 Å, c = 8.1757 Å
α = 90.00°, β = 90.00°, γ = 90.00°
Space group Cmce (No. 64)
Unique sites:
Pr 0.0000 0.0000 0.0000
Pr 0.1072 0.1534 0.3453
Ir 0.0000 0.1446 0.6404
I 0.2098 0.0000 0.0000

Output
- calculated density (g/cm³) = 7.865
- crystal system = orthorhombic
- volume (Å³ per cell) = 1134
- energy relative to the elements, uncorrected (eV per atom) = -0.78